Entry 1:
Entry from the Alexandria database: a crystal of Si6Bi9O26 relaxed with PBEsol (meta-GGA SCAN).

The uncorrected formation energy comes out at -1.941 eV/atom. The total magnetization is 0.00 μB per formula unit. The volume comes out at 557.97 Å³/f.u. Its symmetry is P3. The relative energy among the computed polymorphs comes out at 15 meV/atom. The total energy comes out at -24.61 eV per atom. The crystal system is trigonal.

a = 9.5824 Å, b = 9.5824 Å, c = 7.0166 Å
α = 90.00°, β = 90.00°, γ = 120.00°
Last column: nearest neighbours and their distance in Å.
Atoms (fractional coordinates):
Si 0.0282 0.6254 0.0000  4 O 1.63-1.66
Si 0.3746 0.4028 0.0000  4 O 1.63-1.66
Si 0.3937 0.0247 0.5135  4 O 1.61-1.66
Si 0.5972 0.9718 0.0000  4 O 1.63-1.66
Si 0.6311 0.6063 0.5135  4 O 1.61-1.66
Si 0.9753 0.3689 0.5135  4 O 1.61-1.66
Bi 0.0018 0.7614 0.5018  6 O 2.29-2.46
Bi 0.0125 0.2426 0.0050  6 O 2.27-2.49
Bi 0.2302 0.9875 0.0050  6 O 2.27-2.49
Bi 0.2386 0.2403 0.5018  6 O 2.29-2.46
Bi 0.3333 0.6667 0.7316  6 O 2.30-2.42
Bi 0.6667 0.3333 0.2543  3 O 2.32
Bi 0.6667 0.3333 0.7637  6 O 2.35-2.52
Bi 0.7574 0.7698 0.0050  6 O 2.27-2.49
Bi 0.7597 0.9982 0.5018  6 O 2.29-2.46
O 0.0000 0.0000 0.0044  3 Bi 2.27
O 0.0000 0.0000 0.4995  3 Bi 2.29
O 0.0775 0.7578 0.8246  1 Si 1.66
O 0.0836 0.7515 0.1806  1 Si 1.65
O 0.1190 0.5229 0.9602  1 Si 1.63
O 0.1697 0.4686 0.5206  1 Si 1.61
O 0.2422 0.3197 0.8246  1 Si 1.66
O 0.2485 0.3321 0.1806  1 Si 1.65
O 0.2990 0.8303 0.5206  1 Si 1.61
O 0.3427 0.1034 0.6922  1 Si 1.66
O 0.3504 0.0978 0.3231  1 Si 1.65
O 0.4039 0.8810 0.9602  1 Si 1.63
O 0.4771 0.5961 0.9602  1 Si 1.63
O 0.5029 0.3356 0.0116  1 Si 1.65
O 0.5232 0.4075 0.5175  1 Si 1.65
O 0.5314 0.7010 0.5206  1 Si 1.61
O 0.5925 0.1157 0.5175  1 Si 1.65
O 0.6644 0.1673 0.0116  1 Si 1.65
O 0.6679 0.9164 0.1806  1 Si 1.65
O 0.6803 0.9225 0.8246  1 Si 1.66
O 0.7474 0.6496 0.3231  1 Si 1.65
O 0.7608 0.6573 0.6922  1 Si 1.66
O 0.8327 0.4971 0.0116  1 Si 1.65
O 0.8843 0.4768 0.5175  1 Si 1.65
O 0.8966 0.2392 0.6922  1 Si 1.66
O 0.9022 0.2526 0.3231  1 Si 1.65

=====

Entry 2:
Entry from the Alexandria database: a crystal of SiBiO3 relaxed with PBEsol (meta-GGA SCAN).

The uncorrected formation energy comes out at -0.093 eV/atom. The total magnetization is 0.00 μB per formula unit. The volume comes out at 76.46 Å³/f.u. Its symmetry is Pm-3m. The total energy comes out at -21.55 eV per atom. The crystal system is cubic.

a = 4.2444 Å, b = 4.2444 Å, c = 4.2444 Å
α = 90.00°, β = 90.00°, γ = 90.00°
Last column: nearest neighbours and their distance in Å.
Atoms (fractional coordinates):
Si 0.0000 0.0000 0.0000  12 O 3.00
Bi 0.5000 0.5000 0.5000  6 O 2.12
O 0.0000 0.5000 0.5000  2 Bi 2.12
O 0.5000 0.0000 0.5000  2 Bi 2.12
O 0.5000 0.5000 0.0000  2 Bi 2.12

=====

Entry 3:
Entry from the Alexandria database: a crystal of Si3Bi4O12 relaxed with PBEsol (meta-GGA SCAN).

The uncorrected formation energy comes out at -2.101 eV/atom. The total magnetization is 0.00 μB per formula unit. The volume comes out at 269.88 Å³/f.u. Its symmetry is I-43d. The total energy comes out at -24.16 eV per atom. The crystal system is cubic.

a = 8.8840 Å, b = 8.8840 Å, c = 8.8840 Å
α = 109.47°, β = 109.47°, γ = 109.47°
Last column: nearest neighbours and their distance in Å.
Atoms (fractional coordinates):
Si 0.1250 0.7500 0.8750  4 O 1.64
Si 0.2500 0.6250 0.3750  4 O 1.64
Si 0.3750 0.2500 0.6250  4 O 1.64
Si 0.6250 0.3750 0.2500  4 O 1.64
Si 0.7500 0.8750 0.1250  4 O 1.64
Si 0.8750 0.1250 0.7500  4 O 1.64
Bi 0.0000 0.3386 0.5000  3 O 2.20
Bi 0.0000 0.8386 0.5000  3 O 2.20
Bi 0.1614 0.1614 0.1614  3 O 2.20
Bi 0.3386 0.5000 0.0000  3 O 2.20
Bi 0.5000 0.0000 0.3386  3 O 2.20
Bi 0.5000 0.0000 0.8386  3 O 2.20
Bi 0.6614 0.6614 0.6614  3 O 2.20
Bi 0.8386 0.5000 0.0000  3 O 2.20
O 0.0689 0.6503 0.3408  1 Si 1.64
O 0.0815 0.2719 0.9311  1 Si 1.64
O 0.1503 0.5689 0.8408  1 Si 1.64
O 0.1592 0.8095 0.7281  1 Si 1.64
O 0.1905 0.4185 0.3497  1 Si 1.64
O 0.2281 0.3095 0.6592  1 Si 1.64
O 0.2719 0.9311 0.0815  1 Si 1.64
O 0.3095 0.6592 0.2281  1 Si 1.64
O 0.3408 0.0689 0.6503  1 Si 1.64
O 0.3497 0.1905 0.4185  1 Si 1.64
O 0.4185 0.3497 0.1905  1 Si 1.64
O 0.4311 0.7719 0.5815  1 Si 1.64
O 0.5689 0.8408 0.1503  1 Si 1.64
O 0.5815 0.4311 0.7719  1 Si 1.64
O 0.6503 0.3408 0.0689  1 Si 1.64
O 0.6592 0.2281 0.3095  1 Si 1.64
O 0.6905 0.8497 0.9185  1 Si 1.64
O 0.7281 0.1592 0.8095  1 Si 1.64
O 0.7719 0.5815 0.4311  1 Si 1.64
O 0.8095 0.7281 0.1592  1 Si 1.64
O 0.8408 0.1503 0.5689  1 Si 1.64
O 0.8497 0.9185 0.6905  1 Si 1.64
O 0.9185 0.6905 0.8497  1 Si 1.64
O 0.9311 0.0815 0.2719  1 Si 1.64

=====

Entry 4:
Entry from the Alexandria database: a crystal of SiBi2O relaxed with PBEsol (meta-GGA SCAN).

The uncorrected formation energy comes out at 0.328 eV/atom. The total magnetization is 0.00 μB per formula unit. The volume comes out at 76.61 Å³/f.u. Its symmetry is Fm-3m. The total energy comes out at -43.02 eV per atom. The crystal system is cubic.

a = 4.7672 Å, b = 4.7672 Å, c = 4.7672 Å
α = 60.00°, β = 60.00°, γ = 60.00°
Last column: nearest neighbours and their distance in Å.
Atoms (fractional coordinates):
Si 0.0000 0.0000 0.0000  8 Bi 2.92
Bi 0.2500 0.2500 0.2500  4 O 2.92, 4 Si 2.92
Bi 0.7500 0.7500 0.7500  4 O 2.92, 4 Si 2.92
O 0.5000 0.5000 0.5000  8 Bi 2.92

=====

Entry 5:
Entry from the Alexandria database: a crystal of Si6Bi9O26 relaxed with PBEsol (meta-GGA SCAN).

The uncorrected formation energy comes out at -1.956 eV/atom. The total magnetization is 0.01 μB per formula unit. The volume comes out at 558.05 Å³/f.u. Its symmetry is P-3. The relative energy among the computed polymorphs comes out at 0 meV/atom. The total energy comes out at -24.62 eV per atom. The crystal system is trigonal.

a = 9.6078 Å, b = 9.6078 Å, c = 13.9613 Å
α = 90.00°, β = 90.00°, γ = 120.00°
Last column: nearest neighbours and their distance in Å.
Atoms (fractional coordinates):
Si 0.0230 0.6269 0.3750  4 O 1.62-1.65
Si 0.0253 0.6270 0.8733  4 O 1.63-1.66
Si 0.3731 0.3960 0.3750  4 O 1.62-1.65
Si 0.3730 0.3983 0.8733  4 O 1.63-1.66
Si 0.3960 0.0230 0.6250  4 O 1.62-1.65
Si 0.3983 0.0253 0.1267  4 O 1.63-1.66
Si 0.6017 0.9747 0.8733  4 O 1.63-1.66
Si 0.6040 0.9770 0.3750  4 O 1.62-1.65
Si 0.6270 0.6017 0.1267  4 O 1.63-1.66
Si 0.6269 0.6040 0.6250  4 O 1.62-1.65
Si 0.9747 0.3730 0.1267  4 O 1.63-1.66
Si 0.9770 0.3731 0.6250  4 O 1.62-1.65
Bi 0.0042 0.2419 0.3736  6 O 2.30-2.44
Bi 0.0086 0.2394 0.8742  6 O 2.26-2.46
Bi 0.2308 0.9914 0.8742  6 O 2.26-2.46
Bi 0.2377 0.9958 0.3736  6 O 2.30-2.44
Bi 0.2394 0.2308 0.1258  6 O 2.26-2.46
Bi 0.2419 0.2377 0.6264  6 O 2.30-2.44
Bi 0.3333 0.6667 0.2431  3 O 2.29
Bi 0.3333 0.6667 0.5252  3 O 2.18
Bi 0.3333 0.6667 0.9830  6 O 2.30-2.57
Bi 0.6667 0.3333 0.0170  6 O 2.30-2.57
Bi 0.6667 0.3333 0.4748  3 O 2.18
Bi 0.6667 0.3333 0.7569  3 O 2.29
Bi 0.7581 0.7623 0.3736  6 O 2.30-2.44
Bi 0.7606 0.7692 0.8742  6 O 2.26-2.46
Bi 0.7623 0.0042 0.6264  6 O 2.30-2.44
Bi 0.7692 0.0086 0.1258  6 O 2.26-2.46
Bi 0.9914 0.7606 0.1258  6 O 2.26-2.46
Bi 0.9958 0.7581 0.6264  6 O 2.30-2.44
O 0.0000 0.0000 0.1195  3 Bi 2.26
O 0.0000 0.0000 0.3735  3 Bi 2.30
O 0.0000 0.0000 0.6265  3 Bi 2.30
O 0.0000 0.0000 0.8805  3 Bi 2.26
O 0.0756 0.7597 0.7862  1 Si 1.65
O 0.0909 0.7542 0.2840  1 Si 1.65
O 0.0928 0.7536 0.9654  1 Si 1.66
O 0.0967 0.7519 0.4668  1 Si 1.65
O 0.1116 0.5190 0.3689  1 Si 1.64
O 0.1205 0.5258 0.8802  1 Si 1.64
O 0.1683 0.4961 0.1263  1 Si 1.63
O 0.1715 0.4771 0.6231  1 Si 1.62
O 0.2403 0.3159 0.7862  1 Si 1.65
O 0.2458 0.3366 0.2840  1 Si 1.65
O 0.2464 0.3392 0.9654  1 Si 1.66
O 0.2481 0.3448 0.4668  1 Si 1.65
O 0.3056 0.8285 0.6231  1 Si 1.62
O 0.3159 0.0756 0.2138  1 Si 1.65
O 0.3278 0.8317 0.1263  1 Si 1.63
O 0.3366 0.0909 0.7160  1 Si 1.65
O 0.3392 0.0928 0.0346  1 Si 1.66
O 0.3448 0.0967 0.5332  1 Si 1.65
O 0.4052 0.8795 0.8802  1 Si 1.64
O 0.4074 0.8884 0.3689  1 Si 1.64
O 0.4742 0.5948 0.8802  1 Si 1.64
O 0.4771 0.3056 0.3769  1 Si 1.62
O 0.4810 0.5926 0.3689  1 Si 1.64
O 0.4961 0.3278 0.8737  1 Si 1.63
O 0.5039 0.6722 0.1263  1 Si 1.63
O 0.5190 0.4074 0.6311  1 Si 1.64
O 0.5229 0.6944 0.6231  1 Si 1.62
O 0.5258 0.4052 0.1198  1 Si 1.64
O 0.5926 0.1116 0.6311  1 Si 1.64
O 0.5948 0.1205 0.1198  1 Si 1.64
O 0.6552 0.9033 0.4668  1 Si 1.65
O 0.6608 0.9072 0.9654  1 Si 1.66
O 0.6634 0.9091 0.2840  1 Si 1.65
O 0.6722 0.1683 0.8737  1 Si 1.63
O 0.6841 0.9244 0.7862  1 Si 1.65
O 0.6944 0.1715 0.3769  1 Si 1.62
O 0.7519 0.6552 0.5332  1 Si 1.65
O 0.7536 0.6608 0.0346  1 Si 1.66
O 0.7542 0.6634 0.7160  1 Si 1.65
O 0.7597 0.6841 0.2138  1 Si 1.65
O 0.8285 0.5229 0.3769  1 Si 1.62
O 0.8317 0.5039 0.8737  1 Si 1.63
O 0.8795 0.4742 0.1198  1 Si 1.64
O 0.8884 0.4810 0.6311  1 Si 1.64
O 0.9033 0.2481 0.5332  1 Si 1.65
O 0.9072 0.2464 0.0346  1 Si 1.66
O 0.9091 0.2458 0.7160  1 Si 1.65
O 0.9244 0.2403 0.2138  1 Si 1.65

=====

Entry 6:
Entry from the Alexandria database: a crystal of Sm3Bi5O12 relaxed with PBEsol (meta-GGA SCAN).

The uncorrected formation energy comes out at -2.068 eV/atom. The total magnetization is 0.00 μB per formula unit. The volume comes out at 331.98 Å³/f.u. Its symmetry is P1. The total energy comes out at -32.12 eV per atom. The crystal system is triclinic.

a = 9.4878 Å, b = 9.5161 Å, c = 9.5170 Å
α = 109.44°, β = 109.36°, γ = 109.31°
Last column: nearest neighbours and their distance in Å.
Atoms (fractional coordinates):
Sm 0.0000 0.0000 0.0000  6 O 2.34-2.36
Sm 0.0016 0.4994 0.5015  6 O 2.34-2.35
Sm 0.2811 0.5304 0.2501  6 O 2.31-2.41
Sm 0.4676 0.7468 0.7158  6 O 2.31-2.39
Sm 0.4995 0.9977 0.4980  6 O 2.33-2.36
Sm 0.5017 0.4979 0.9992  6 O 2.34-2.36
Bi 0.0297 0.2492 0.7816  6 O 2.27-2.53
Bi 0.2207 0.9677 0.7482  6 O 2.28-2.54
Bi 0.2523 0.2816 0.5313  6 O 2.30-2.50
Bi 0.2521 0.7784 0.0294  6 O 2.29-2.52
Bi 0.5303 0.2503 0.2795  6 O 2.30-2.50
Bi 0.7211 0.4693 0.7515  6 O 2.30-2.50
Bi 0.7480 0.7192 0.4692  6 O 2.32-2.50
Bi 0.7500 0.2146 0.9702  6 O 2.29-2.50
Bi 0.7820 0.0286 0.2496  6 O 2.29-2.50
Bi 0.9719 0.7487 0.2199  6 O 2.29-2.50
O 0.0152 0.7353 0.4659  3 Bi 2.29-2.50, 1 Sm 2.35
O 0.0312 0.2714 0.0508  2 Sm 2.31-2.36, 2 Bi 2.33-2.49
O 0.0509 0.0326 0.2699  3 Bi 2.32-2.48, 1 Sm 2.34
O 0.2293 0.4938 0.4596  3 Sm 2.31-2.39, 1 Bi 2.39
O 0.2323 0.7578 0.2737  2 Sm 2.31-2.35, 2 Bi 2.32-2.46
O 0.2419 0.7208 0.7680  2 Sm 2.31-2.35, 2 Bi 2.32-2.49
O 0.2685 0.5357 0.9948  2 Bi 2.29-2.42, 2 Sm 2.35-2.41
O 0.2714 0.0504 0.0323  3 Bi 2.30-2.52, 1 Sm 2.35
O 0.2825 0.2285 0.7626  3 Bi 2.30-2.53, 1 Sm 2.34
O 0.4528 0.2199 0.4850  3 Bi 2.30-2.50, 1 Sm 2.33
O 0.4615 0.0003 0.7294  2 Bi 2.28-2.44, 2 Sm 2.34-2.39
O 0.4837 0.4554 0.2242  2 Sm 2.32-2.36, 2 Bi 2.32-2.47
O 0.5157 0.5459 0.7766  2 Sm 2.31-2.35, 2 Bi 2.35-2.47
O 0.5335 0.9843 0.2621  3 Bi 2.30-2.49, 1 Sm 2.34
O 0.5354 0.7665 0.5073  1 Bi 2.32, 3 Sm 2.32-2.39
O 0.7215 0.7680 0.2345  3 Bi 2.29-2.49, 1 Sm 2.34
O 0.7288 0.9505 0.9653  2 Sm 2.32-2.34, 2 Bi 2.37-2.44
O 0.7405 0.4673 0.0164  3 Bi 2.33-2.47, 1 Sm 2.34
O 0.7666 0.2797 0.2315  3 Bi 2.29-2.50, 1 Sm 2.34
O 0.7688 0.2291 0.7189  3 Bi 2.27-2.50, 1 Sm 2.33
O 0.7777 0.5161 0.5476  3 Bi 2.32-2.50, 1 Sm 2.35
O 0.9481 0.9692 0.7291  3 Bi 2.32-2.54, 1 Sm 2.35
O 0.9672 0.7297 0.9494  3 Bi 2.30-2.50, 1 Sm 2.34
O 0.9842 0.2621 0.5347  3 Bi 2.30-2.50, 1 Sm 2.34